Entry 1:
DyBr2 | PBE | relaxed

* total magnetization: 0.00 μB per formula unit
* density: 6.07 g cm⁻³
* VASP energy: -4.23 eV/atom

Unit cell a=3.8359 b=3.8359 c=13.8160 alpha=90.00 beta=90.00 gamma=119.82
Closest atoms and distances in Å follow each position.
Atoms (fractional coordinates):
Br 0.8322 0.1678 0.1322  3 Dy 2.87
Br 0.4992 0.5008 0.3678  3 Dy 2.87
Br 0.1678 0.8322 0.6322  3 Dy 2.87
Br 0.5008 0.4992 0.8678  3 Dy 2.87
Dy 0.1665 0.8335 0.0000  6 Br 2.87
Dy 0.8335 0.1665 0.5000  6 Br 2.87

---

Entry 2:
ZnCuBW | PBE | relaxed

* ΔE to the lowest computed polymorph: 0.00 eV per formula unit
* total magnetization: 0.03 μB per formula unit
* density: 11.13 g cm⁻³

Unit cell a=4.0875 b=4.0875 c=4.0875 alpha=60.00 beta=60.00 gamma=60.00
Closest atoms and distances in Å follow each position.
Atoms (fractional coordinates):
B 0.0000 0.0000 0.0000  4 Cu 2.50, 4 W 2.50
Cu 0.7500 0.7500 0.7500  4 B 2.50, 4 Zn 2.50
W 0.2500 0.2500 0.2500  4 Zn 2.50, 4 B 2.50
Zn 0.5000 0.5000 0.5000  4 W 2.50, 4 Cu 2.50

---

Entry 3:
CdCo10 | PBE | relaxed

* total magnetization: 15.98 μB per formula unit
* density: 6.02 g cm⁻³
* VASP energy: -6.40 eV/atom

Unit cell a=4.2766 b=4.2766 c=28.6204 alpha=90.19 beta=90.19 gamma=47.74
Closest atoms and distances in Å follow each position.
Atoms (fractional coordinates):
Cd 0.1499 0.1499 0.1931  6 Co 2.70-2.97
Cd 0.8501 0.8501 0.8068  6 Co 2.70-2.97
Co 0.8496 0.8496 0.2409  6 Co 2.41-2.44, 2 Cd 2.70
Co 0.5499 0.5499 0.2644  9 Co 2.43-2.51
Co 0.2521 0.2521 0.2931  11 Co 2.41-2.48
Co 0.9529 0.9529 0.3207  12 Co 2.42-2.50
Co 0.6502 0.6502 0.3479  12 Co 2.44-2.51
Co 0.3489 0.3489 0.3753  12 Co 2.45-2.51
Co 0.0496 0.0496 0.4033  12 Co 2.46-2.50
Co 0.7498 0.7498 0.4309  12 Co 2.46-2.50
Co 0.4497 0.4497 0.4588  12 Co 2.46-2.51
Co 0.1502 0.1502 0.4864  12 Co 2.46-2.50
Co 0.8498 0.8498 0.5136  12 Co 2.46-2.50
Co 0.5503 0.5503 0.5412  12 Co 2.46-2.51
Co 0.2502 0.2502 0.5691  12 Co 2.46-2.50
Co 0.9504 0.9504 0.5967  12 Co 2.46-2.50
Co 0.6511 0.6511 0.6247  12 Co 2.45-2.51
Co 0.3498 0.3498 0.6521  12 Co 2.44-2.51
Co 0.0471 0.0471 0.6793  12 Co 2.42-2.50
Co 0.7479 0.7479 0.7069  11 Co 2.41-2.48
Co 0.4501 0.4501 0.7356  9 Co 2.43-2.51
Co 0.1504 0.1504 0.7591  6 Co 2.41-2.44, 2 Cd 2.70

---

Entry 4:
YTl2CuCl6 | PBE | relaxed

* total magnetization: 0.00 μB per formula unit
* density: 4.73 g cm⁻³
* VASP energy: -3.96 eV/atom

Unit cell a=7.2680 b=7.2680 c=7.2680 alpha=60.00 beta=60.00 gamma=60.00
Closest atoms and distances in Å follow each position.
Atoms (fractional coordinates):
Cl 0.2559 0.7441 0.2559  1 Cu 2.51, 1 Y 2.63
Cl 0.7441 0.2559 0.2559  1 Cu 2.51, 1 Y 2.63
Cl 0.7441 0.7441 0.2559  1 Cu 2.51, 1 Y 2.63
Cl 0.7441 0.2559 0.7441  1 Cu 2.51, 1 Y 2.63
Cl 0.2559 0.2559 0.7441  1 Cu 2.51, 1 Y 2.63
Cl 0.2559 0.7441 0.7441  1 Cu 2.51, 1 Y 2.63
Cu 0.5000 0.5000 0.5000  6 Cl 2.51
Tl 0.2500 0.2500 0.2500  12 Cl 3.63
Tl 0.7500 0.7500 0.7500  12 Cl 3.63
Y 0.0000 0.0000 0.0000  6 Cl 2.63

---

Entry 5:
PaBr2Cl2 | PBE | relaxed

* total magnetization: 1.00 μB per formula unit
* density: 4.24 g cm⁻³
* VASP energy: -4.92 eV/atom

Unit cell a=7.7568 b=7.7568 c=8.9645 alpha=124.77 beta=124.77 gamma=66.43
Closest atoms and distances in Å follow each position.
Atoms (fractional coordinates):
Br 0.7028 0.7028 0.1824  2 Pa 2.89
Br 0.2069 0.2069 0.1865  2 Pa 2.88
Br 0.7931 0.7931 0.8135  2 Pa 2.88
Br 0.2972 0.2972 0.8176  2 Pa 2.89
Cl 0.7758 0.2650 0.3024  1 Pa 2.54
Cl 0.2650 0.7758 0.3024  1 Pa 2.54
Cl 0.7350 0.2242 0.6976  1 Pa 2.54
Cl 0.2242 0.7350 0.6976  1 Pa 2.54
Pa 0.7525 0.2475 0.0000  2 Cl 2.54
Pa 0.2475 0.7525 0.0000  2 Cl 2.54

---

Entry 6:
NiSn3Pd | PBE | relaxed

* total magnetization: 0.01 μB per formula unit
* density: 7.85 g cm⁻³
* VASP energy: -4.56 eV/atom

Unit cell a=6.1848 b=6.1848 c=6.1848 alpha=136.59 beta=136.59 gamma=63.07
Closest atoms and distances in Å follow each position.
Atoms (fractional coordinates):
Ni 0.7883 0.7883 0.0000  4 Sn 2.56, 1 Pd 2.56
Pd 0.0309 0.0309 0.0000  1 Ni 2.56, 4 Sn 2.77
Sn 0.4363 0.4363 0.0000  4 Pd 3.38, 8 Sn 3.44-3.54, 5 Ni 3.59-3.71
Sn 0.6797 0.1797 0.5000  2 Ni 2.56, 2 Pd 2.77
Sn 0.1797 0.6797 0.5000  2 Ni 2.56, 2 Pd 2.77

---

Entry 7:
Zr8C5 | PBE | relaxed

* total magnetization: 0.00 μB per formula unit
* density: 6.22 g cm⁻³
* VASP energy: -9.51 eV/atom

Unit cell a=9.4493 b=9.4493 c=9.4493 alpha=90.00 beta=90.00 gamma=90.00
Closest atoms and distances in Å follow each position.
Atoms (fractional coordinates):
C 0.1262 0.6250 0.1238  6 Zr 2.28-2.39
C 0.1250 0.1250 0.1250  6 Zr 2.34
C 0.8750 0.3750 0.1250  6 Zr 2.31
C 0.3762 0.8738 0.1250  6 Zr 2.28-2.39
C 0.6250 0.1238 0.1262  6 Zr 2.28-2.39
C 0.3750 0.6238 0.3738  6 Zr 2.28-2.39
C 0.6238 0.3738 0.3750  6 Zr 2.28-2.39
C 0.8750 0.6250 0.3750  6 Zr 2.34
C 0.1250 0.8750 0.3750  6 Zr 2.31
C 0.8738 0.1250 0.3762  6 Zr 2.28-2.39
C 0.3738 0.3750 0.6238  6 Zr 2.28-2.39
C 0.1238 0.1262 0.6250  6 Zr 2.28-2.39
C 0.6250 0.6250 0.6250  6 Zr 2.31
C 0.3750 0.8750 0.6250  6 Zr 2.34
C 0.8750 0.8762 0.6262  6 Zr 2.28-2.39
C 0.1250 0.3762 0.8738  6 Zr 2.28-2.39
C 0.3750 0.1250 0.8750  6 Zr 2.31
C 0.6250 0.3750 0.8750  6 Zr 2.34
C 0.8762 0.6262 0.8750  6 Zr 2.28-2.39
C 0.6262 0.8750 0.8762  6 Zr 2.28-2.39
Zr 0.1191 0.3726 0.1168  4 C 2.30-2.39
Zr 0.6175 0.8825 0.1175  3 C 2.28
Zr 0.3726 0.1168 0.1191  4 C 2.30-2.39
Zr 0.6309 0.3668 0.1226  4 C 2.30-2.39
Zr 0.8832 0.6191 0.1274  4 C 2.30-2.39
Zr 0.1332 0.8774 0.1309  4 C 2.30-2.39
Zr 0.3675 0.6325 0.1325  3 C 2.28
Zr 0.8774 0.1309 0.1332  4 C 2.30-2.39
Zr 0.1226 0.6309 0.3668  4 C 2.30-2.39
Zr 0.6325 0.1325 0.3675  3 C 2.28
Zr 0.8668 0.3774 0.3691  4 C 2.30-2.39
Zr 0.1168 0.1191 0.3726  4 C 2.30-2.39
Zr 0.3691 0.8668 0.3774  4 C 2.30-2.39
Zr 0.6274 0.6168 0.3809  4 C 2.30-2.39
Zr 0.3825 0.3825 0.3825  3 C 2.28
Zr 0.8809 0.8726 0.3832  4 C 2.30-2.39
Zr 0.3809 0.6274 0.6168  4 C 2.30-2.39
Zr 0.8825 0.1175 0.6175  3 C 2.28
Zr 0.1274 0.8832 0.6191  4 C 2.30-2.39
Zr 0.8691 0.6332 0.6226  4 C 2.30-2.39
Zr 0.6168 0.3809 0.6274  4 C 2.30-2.39
Zr 0.3668 0.1226 0.6309  4 C 2.30-2.39
Zr 0.1325 0.3675 0.6325  3 C 2.28
Zr 0.6226 0.8691 0.6332  4 C 2.30-2.39
Zr 0.3774 0.3691 0.8668  4 C 2.30-2.39
Zr 0.8675 0.8675 0.8675  3 C 2.28
Zr 0.6332 0.6226 0.8691  4 C 2.30-2.39
Zr 0.3832 0.8809 0.8726  4 C 2.30-2.39
Zr 0.1309 0.1332 0.8774  4 C 2.30-2.39
Zr 0.8726 0.3832 0.8809  4 C 2.30-2.39
Zr 0.1175 0.6175 0.8825  3 C 2.28
Zr 0.6191 0.1274 0.8832  4 C 2.30-2.39

---

Entry 8:
CsDySiS4 | PBE | relaxed

* total magnetization: 0.00 μB per formula unit
* density: 3.93 g cm⁻³
* VASP energy: -5.36 eV/atom

Unit cell a=6.3728 b=6.7121 c=17.8456 alpha=90.00 beta=90.00 gamma=90.00
Closest atoms and distances in Å follow each position.
Atoms (fractional coordinates):
Cs 0.0005 0.0075 0.0321  8 S 3.46-3.86
Cs 0.9995 0.5075 0.4679  8 S 3.46-3.86
Cs 0.4995 0.9925 0.5321  8 S 3.46-3.86
Cs 0.5005 0.4925 0.9679  8 S 3.46-3.86
Dy 0.2917 0.4790 0.2285  7 S 2.78-2.95
Dy 0.7083 0.9790 0.2715  7 S 2.78-2.95
Dy 0.2083 0.5210 0.7285  7 S 2.78-2.95
Dy 0.7917 0.0210 0.7715  7 S 2.78-2.95
S 0.0548 0.5127 0.0970  1 Si 2.11
S 0.5658 0.7484 0.1475  1 Si 2.14
S 0.6044 0.2525 0.1569  1 Si 2.15
S 0.1063 0.0771 0.2202  1 Si 2.13
S 0.8937 0.5771 0.2798  1 Si 2.13
S 0.3956 0.7525 0.3431  1 Si 2.15
S 0.4342 0.2484 0.3525  1 Si 2.14
S 0.9452 0.0127 0.4030  1 Si 2.11
S 0.4452 0.4873 0.5970  1 Si 2.11
S 0.9342 0.2516 0.6475  1 Si 2.14
S 0.8956 0.7475 0.6569  1 Si 2.15
S 0.3937 0.9229 0.7202  1 Si 2.13
S 0.6063 0.4229 0.7798  1 Si 2.13
S 0.1044 0.2475 0.8431  1 Si 2.15
S 0.0658 0.7516 0.8525  1 Si 2.14
S 0.5548 0.9873 0.9030  1 Si 2.11
Si 0.7904 0.5176 0.1684  4 S 2.11-2.15
Si 0.2096 0.0176 0.3316  4 S 2.11-2.15
Si 0.7096 0.4824 0.6684  4 S 2.11-2.15
Si 0.2904 0.9824 0.8316  4 S 2.11-2.15